A plane-wave DFT calculation with PBE with a Hubbard U was carried out for a relaxed RbVSeO6 crystal.

Cell lengths 5.008, 5.008, 6.411 Å; angles 90.00, 90.00, 120.00 degrees
Fractional positions:
Rb  0.000  0.000  0.000
V  0.333  0.667  0.500
Se  0.667  0.333  0.500
O  0.396  0.011  0.664
O  0.396  0.385  0.336
O  0.615  0.011  0.336
O  0.615  0.604  0.664
O  0.989  0.385  0.664
O  0.989  0.604  0.336

## Properties
- Total DFT energy (no corrections): -5.925 eV/atom